{"formula": "Cu2PtRh", "functional": "GGA-PBE", "state": "relaxed", "de_polymorph_kj_per_mol_atoms": 0.0, "e_form_ev_per_atom": -0.070, "volume_a3_per_atom": 13.66, "density_g_cm3": 12.917, "lattice_angstrom": [[4.580, 0.011, -0.015], [3.779, 2.588, -0.015], [0.797, 0.248, 4.624]], "species": ["Rh", "Cu", "Cu", "Pt"], "frac_coords": [[0.250, 0.250, 0.250], [0.999, 0.999, 0.005], [0.501, 0.501, 0.495], [0.750, 0.750, 0.750]]}

---

{"formula": "CuPt3Rh", "functional": "GGA-PBE", "state": "relaxed", "de_polymorph_kj_per_mol_atoms": 0.0, "e_form_ev_per_atom": -0.026, "volume_a3_per_atom": 14.81, "density_g_cm3": 16.858, "lattice_angstrom": [[4.569, 0.000, 0.000], [0.000, 4.352, -1.885], [0.000, 0.542, 7.213]], "species": ["Cu", "Cu", "Pt", "Pt", "Pt", "Pt", "Pt", "Pt", "Rh", "Rh"], "frac_coords": [[0.015, 0.619, 0.493], [0.515, 0.149, 0.890], [0.515, 0.551, 0.699], [0.515, 0.941, 0.489], [0.015, 0.216, 0.685], [0.015, 0.427, 0.095], [0.015, 0.826, 0.894], [0.515, 0.341, 0.288], [0.515, 0.750, 0.088], [0.015, 0.018, 0.295]]}

---

{"formula": "CuPt6Rh2", "functional": "GGA-PBE", "state": "relaxed", "de_polymorph_kj_per_mol_atoms": 16.8, "e_form_ev_per_atom": 0.133, "volume_a3_per_atom": 16.17, "density_g_cm3": 16.426, "lattice_angstrom": [[-2.841, -0.973, 4.539], [0.793, -8.136, -0.894], [5.925, -4.833, 3.026]], "species": ["Cu", "Cu", "Pt", "Pt", "Pt", "Pt", "Pt", "Pt", "Pt", "Pt", "Pt", "Pt", "Pt", "Pt", "Rh", "Rh", "Rh", "Rh"], "frac_coords": [[0.250, 0.000, 0.000], [0.750, 0.000, 0.000], [0.632, 0.580, 0.579], [0.868, 0.421, 0.420], [0.368, 0.420, 0.421], [0.132, 0.579, 0.580], [0.903, 0.945, 0.324], [0.597, 0.676, 0.055], [0.097, 0.055, 0.676], [0.403, 0.324, 0.945], [0.097, 0.676, 0.055], [0.403, 0.945, 0.324], [0.903, 0.324, 0.945], [0.597, 0.055, 0.676], [0.362, 0.738, 0.739], [0.138, 0.261, 0.262], [0.638, 0.262, 0.261], [0.862, 0.739, 0.738]]}